Computed, not measured: a geometry-optimized PuTh2Pd structure at the PBE-GGA level of DFT. Values from VASP.

```
&SYSTEM
  ibrav = 0, nat = 4, ntyp = 3
/
ATOMIC_SPECIES
Pu 244.00 Pu.upf
Th 232.04 Th.upf
Pd 106.42 Pd.upf
CELL_PARAMETERS angstrom
5.4097 0.0000 0.0000
0.0000 5.4097 0.0000
0.0000 0.0000 3.4465
ATOMIC_POSITIONS angstrom
Pu 0.0000 0.0000 0.0000
Th 0.0000 2.7049 1.7233
Th 2.7049 0.0000 1.7233
Pd 2.7049 2.7049 0.0000
```

Calculated values
ΔH_f (0 K)	-260	meV/atom
ΔE to the lowest computed polymorph	0	meV/atom
electronic total energy	-0.325	Ha/atom

=====

Computed, not measured: a geometry-optimized MnFeAgPd2 structure at the PBE-GGA level of DFT. Values from VASP.

```
&SYSTEM
  ibrav = 0, nat = 5, ntyp = 4
/
ATOMIC_SPECIES
Mn 54.94 Mn.upf
Fe 55.84 Fe.upf
Ag 107.87 Ag.upf
Pd 106.42 Pd.upf
CELL_PARAMETERS angstrom
4.6528 0.0000 0.0000
0.0000 4.6528 0.0000
0.0000 0.0000 4.0963
ATOMIC_POSITIONS angstrom
Mn 0.0000 0.0000 0.0000
Fe 0.0000 0.0000 2.0481
Ag 2.3264 2.3264 0.0000
Pd 0.0000 2.3264 2.0481
Pd 2.3264 0.0000 2.0481
```

Calculated values
ΔH_f (0 K)	821	meV/atom
electronic total energy	-0.197	Ha/atom

=====

Computed, not measured: a geometry-optimized CuH6Pd2Pt structure at the PBE-GGA level of DFT. Values from VASP.

```
&SYSTEM
  ibrav = 0, nat = 20, ntyp = 4
/
ATOMIC_SPECIES
Cu 63.55 Cu.upf
H 1.01 H.upf
Pd 106.42 Pd.upf
Pt 195.08 Pt.upf
CELL_PARAMETERS angstrom
4.2917 0.0000 0.0000
0.0000 4.4981 0.0000
-4.2915 0.0000 8.6275
ATOMIC_POSITIONS angstrom
Cu 0.0000 0.0000 0.0000
Cu -2.1457 2.2491 4.3138
H -1.0154 0.8064 3.0566
H -3.1612 1.4427 7.3704
H 1.0246 3.3212 0.8696
H -1.1212 3.4260 5.1833
H 1.1522 1.1200 0.9996
H -0.9936 1.1291 5.3134
H 0.9938 3.3691 3.3142
H -1.1519 3.3781 7.6279
H 1.1214 1.0721 3.4442
H -1.0244 1.1769 7.7580
H 3.1614 3.0555 1.2572
H 1.0157 3.6917 5.5709
Pd -2.1024 0.1388 6.5711
Pd 0.0433 2.1103 2.2573
Pd -0.0431 2.3879 6.3702
Pd 2.1027 4.3593 2.0565
Pt 0.0001 0.0000 4.3138
Pt 2.1459 2.2491 0.0000
```

Calculated values
electronic total energy	-0.148	Ha/atom